Density functional theory data (PBE) for ScCuSn3 after structural relaxation.

The structure in CIF format:
```
data_ScCuSn3
_chemical_formula_sum 'Sc1 Cu1 Sn3'
_space_group_name_H-M_alt 'P m -3 m'
_space_group_IT_number 221
_space_group_name_Hall '-P 4 2 3'
_cell_length_a 5.0666
_cell_length_b 5.0666
_cell_length_c 5.0666
_cell_angle_alpha 90.00
_cell_angle_beta 90.00
_cell_angle_gamma 90.00
loop_
_atom_site_label
_atom_site_type_symbol
_atom_site_fract_x
_atom_site_fract_y
_atom_site_fract_z
_atom_site_occupancy
Sc1 Sc 0.0000 0.0000 0.0000 1
Cu1 Cu 0.5000 0.5000 0.5000 1
Sn1 Sn 0.0000 0.5000 0.5000 1
```

Calculated values
Formation energy from the elements ... 0.213 eV per atom
Fermi-level density of states ... 1.03 states/eV per atom
Electronic total energy ... -4.275 eV/atom